1.
Entry from Alexandria via LeMat-Bulk: La6TbPrDy2 after structural relaxation (PBE-GGA).

Structure (extended XYZ):
```
10
Lattice="8.902 0.000 1.308 0.000 7.241 0.000 -2.144 -3.620 5.269" Properties=species:S:1:pos:R:3 pbc="T T T"
La 6.344 1.608 2.934
La 6.344 5.633 2.934
La 0.414 2.013 3.643
La 3.288 3.620 2.006
La 0.414 -2.013 3.643
La 3.469 0.000 4.572
Tb 4.451 0.000 0.654
Pr 0.000 3.620 0.000
Dy 5.683 3.620 5.409
Dy 1.075 0.000 1.168
```

Values from the calculation:
uncorrected energy = -4.6312 eV/atom
energy of formation = 0.187 eV per atom
magnetization = 0.0 μB per formula unit

2.
Entry from Alexandria via LeMat-Bulk: LaTbPr2Dy4 after structural relaxation (PBE-GGA).

Structure (extended XYZ):
```
8
Lattice="-1.661 1.751 2.712 -5.293 0.220 -3.384 -8.629 -9.964 1.151" Properties=species:S:1:pos:R:3 pbc="T T T"
Pr -10.290 -8.212 3.862
Pr -5.145 -4.106 1.931
Dy -9.501 -6.483 0.798
Dy -12.977 -5.501 0.465
Dy -2.606 -2.491 0.013
Dy -6.082 -1.509 -0.320
Tb -8.622 -3.121 1.595
La -12.106 -8.978 0.815
```

Values from the calculation:
uncorrected energy = -4.6913 eV/atom
energy of formation = -0.001 eV per atom
magnetization = 0.0 μB per formula unit

3.
Entry from Alexandria via LeMat-Bulk: LaTb2PrDy after structural relaxation (PBE-GGA).

Structure (extended XYZ):
```
10
Lattice="-2.703 -4.418 5.041 7.323 -4.325 0.136 -1.649 5.702 4.114" Properties=species:S:1:pos:R:3 pbc="T T T"
Tb 5.028 -2.970 0.093
Tb 3.677 -5.179 2.614
Tb 2.295 -1.355 0.043
Tb 0.943 -3.564 2.563
La -0.959 -1.435 6.000
La 3.930 -1.606 3.290
Dy 0.451 0.877 3.601
Dy 2.520 -3.919 5.689
Pr 4.990 0.257 5.492
Pr -2.019 -3.299 3.798
```

Values from the calculation:
uncorrected energy = -4.3585 eV/atom
energy of formation = 0.355 eV per atom
magnetization = 0.0 μB per formula unit

4.
Entry from Alexandria via LeMat-Bulk: LaTb2Pr2Dy2 after structural relaxation (PBE-GGA).

Structure (extended XYZ):
```
7
Lattice="6.032 0.000 0.000 -3.016 4.222 2.265 0.000 0.771 9.715" Properties=species:S:1:pos:R:3 pbc="T T T"
La 0.000 0.386 4.857
Tb 0.000 3.886 5.400
Tb 3.016 1.107 6.580
Pr 0.000 2.451 1.944
Pr 3.016 2.542 10.036
Dy 0.000 1.849 8.269
Dy 3.016 3.144 3.711
```

Values from the calculation:
uncorrected energy = -4.5879 eV/atom
energy of formation = 0.119 eV per atom
magnetization = 0.0 μB per formula unit

5.
Entry from Alexandria via LeMat-Bulk: La2Tb2Pr2Dy after structural relaxation (PBE-GGA).

Structure (extended XYZ):
```
7
Lattice="-0.488 0.845 -5.084 -5.457 -1.152 2.968 0.251 8.100 1.322" Properties=species:S:1:pos:R:3 pbc="T T T"
La -1.511 3.239 0.683
La -4.183 4.554 -1.478
Pr -2.653 1.250 -2.173
Pr -3.040 6.543 1.379
Tb -4.828 1.678 0.742
Tb -0.866 6.116 -1.537
Dy 0.000 0.000 0.000
```

Values from the calculation:
uncorrected energy = -4.7308 eV/atom
energy of formation = 0.023 eV per atom
magnetization = 0.0 μB per formula unit

6.
Entry from Alexandria via LeMat-Bulk: La4TbPrDy2 after structural relaxation (PBE-GGA).

Structure (extended XYZ):
```
8
Lattice="-2.365 1.314 4.505 -10.197 -1.429 -4.935 -2.139 -4.758 0.265" Properties=species:S:1:pos:R:3 pbc="T T T"
Dy -2.252 -1.722 2.385
Dy -2.139 -4.758 0.265
La -5.424 -0.244 3.353
La -9.276 -4.629 -3.519
La -9.391 -1.592 -1.400
La -5.309 -3.281 1.235
Pr -6.281 -0.058 -0.215
Tb -6.168 -3.094 -2.335
```

Values from the calculation:
uncorrected energy = -4.7732 eV/atom
energy of formation = 0.017 eV per atom
magnetization = 0.0 μB per formula unit

7.
Entry from Alexandria via LeMat-Bulk: La3TbPrDy after structural relaxation (PBE-GGA).

Structure (extended XYZ):
```
12
Lattice="-0.541 -0.074 -5.206 6.801 -4.448 -0.643 -9.368 -5.673 1.055" Properties=species:S:1:pos:R:3 pbc="T T T"
Dy 2.028 -6.089 -4.072
Dy -5.135 -4.107 -0.724
Pr -2.048 -2.221 -1.071
Pr -1.059 -7.975 -3.724
La -3.341 -7.275 -0.865
La -0.152 -5.417 -1.223
La -8.233 -6.012 -0.374
La 0.234 -2.920 -3.930
La 5.126 -4.183 -4.421
La -2.956 -4.779 -3.572
Tb 2.954 -3.524 -1.573
Tb -6.061 -6.672 -3.223
```

Values from the calculation:
uncorrected energy = -4.7724 eV/atom
energy of formation = 0.027 eV per atom
magnetization = 0.0 μB per formula unit

8.
Entry from Alexandria via LeMat-Bulk: LaTb5PrDy2 after structural relaxation (PBE-GGA).

Structure (extended XYZ):
```
18
Lattice="8.744 0.000 0.000 0.000 8.744 0.000 -4.372 -4.372 7.860" Properties=species:S:1:pos:R:3 pbc="T T T"
La 4.372 4.372 3.930
La 0.000 0.000 3.930
Dy 5.408 1.036 0.000
Dy 3.335 7.707 0.000
Dy 7.707 5.408 0.000
Dy 1.036 3.335 0.000
Tb 1.751 2.620 5.781
Tb 6.123 6.992 2.079
Tb 2.620 1.751 2.079
Tb 1.751 6.123 2.079
Tb 2.620 -1.751 5.781
Tb -1.751 -2.620 5.781
Tb 6.992 2.620 2.079
Tb 0.000 0.000 0.000
Tb 4.372 4.372 0.000
Tb -2.620 1.751 5.781
Pr 4.372 0.000 3.930
Pr 0.000 4.372 3.930
```

Values from the calculation:
uncorrected energy = -4.4051 eV/atom
energy of formation = 0.268 eV per atom
magnetization = 0.0 μB per formula unit

9.
Entry from Alexandria via LeMat-Bulk: La2TbPrDy2 after structural relaxation (PBE-GGA).

Structure (extended XYZ):
```
12
Lattice="-1.485 -1.527 -2.712 -1.864 -5.073 3.879 -15.794 8.680 3.762" Properties=species:S:1:pos:R:3 pbc="T T T"
Tb -9.572 1.039 2.465
Tb 0.000 0.000 0.000
La -13.234 5.916 3.917
La -6.182 0.534 0.893
La -4.424 -2.309 3.724
La -12.962 1.545 4.037
Pr -7.897 4.340 1.881
Pr -1.675 -3.300 0.583
Dy -14.855 3.760 6.019
Dy -11.339 3.705 1.931
Dy -2.803 -0.154 1.622
Dy -7.805 -1.626 2.998
```

Values from the calculation:
uncorrected energy = -4.4969 eV/atom
energy of formation = 0.248 eV per atom
magnetization = 0.0 μB per formula unit

10.
Entry from Alexandria via LeMat-Bulk: La2TbPr2Dy after structural relaxation (PBE-GGA).

Structure (extended XYZ):
```
12
Lattice="-4.867 -2.923 -1.175 3.772 -4.755 -3.794 1.332 -5.547 8.276" Properties=species:S:1:pos:R:3 pbc="T T T"
Pr 2.084 -5.856 5.934
Pr 3.077 -4.517 -1.509
Pr -1.019 -4.528 1.180
Pr 1.315 -8.771 2.067
Tb 2.581 -5.188 2.214
Tb 0.694 -2.808 4.108
Dy 0.879 -6.959 -0.634
Dy -0.586 -6.337 3.883
La 1.206 -2.200 0.474
La 3.957 -8.177 3.948
La 0.813 -9.421 5.760
La -2.405 -1.499 -0.614
```

Values from the calculation:
uncorrected energy = -4.7228 eV/atom
energy of formation = 0.052 eV per atom
magnetization = 0.0 μB per formula unit

11.
Entry from Alexandria via LeMat-Bulk: La3Tb6Pr2Dy after structural relaxation (PBE-GGA).

Structure (extended XYZ):
```
12
Lattice="-2.485 -1.053 5.697 -0.618 -4.313 -4.557 11.076 -3.290 3.063" Properties=species:S:1:pos:R:3 pbc="T T T"
Tb 2.281 -2.690 -0.663
Tb 0.417 -4.840 1.615
Tb 1.660 -1.606 2.747
Tb 7.556 -3.816 2.589
Tb 5.692 -5.965 4.867
Tb 6.313 -7.049 1.457
Dy 0.000 0.000 0.000
Pr -1.241 -3.225 -1.136
Pr -1.863 -2.140 2.277
La 4.608 -5.413 -1.312
La 3.365 -3.242 5.516
La 3.986 -4.328 2.102
```

Values from the calculation:
uncorrected energy = -4.7134 eV/atom
energy of formation = 0.014 eV per atom
magnetization = 0.0 μB per formula unit

12.
Entry from Alexandria via LeMat-Bulk: La2TbPrDy5 after structural relaxation (PBE-GGA).

Structure (extended XYZ):
```
18
Lattice="-7.157 4.984 -0.339 -2.442 -4.008 -7.359 0.852 -5.869 8.090" Properties=species:S:1:pos:R:3 pbc="T T T"
Dy 0.000 0.000 0.000
Dy -4.360 -1.588 4.533
Dy -4.800 0.488 -3.849
Dy -1.321 -6.154 1.570
Dy -4.388 -3.304 -4.140
Dy -5.073 -3.946 0.877
Dy -8.140 -1.097 -4.833
Dy -0.608 -3.796 5.225
Dy -3.675 -0.946 -0.485
Dy -7.427 1.261 -1.178
La -7.825 1.924 -4.842
La -4.706 2.607 -1.073
La -1.775 -0.948 -2.855
La -4.894 -1.631 -6.625
Pr -6.774 -2.202 -1.728
Pr -1.974 -2.690 2.121
Tb -5.552 -0.198 1.951
Tb -3.195 -4.694 -1.559
```

Values from the calculation:
uncorrected energy = -4.4472 eV/atom
energy of formation = 0.250 eV per atom
magnetization = 0.0 μB per formula unit